--- P ---
Density functional theory data (PBE) for crystalline Mo2N at its relaxed geometry.

a = 2.9073 Å, b = 4.2076 Å, c = 5.9512 Å
α = 90.00°, β = 90.00°, γ = 90.00°
Closest atoms and distances in Å follow each position.
Space group Pmmn (No. 59, origin choice 2)
One atom of each set of equivalent atoms:
Mo1 0.2500 0.2500 0.1160 [2 per cell]  2 N 2.13
Mo2 0.2500 0.2500 0.6629 [2 per cell]  4 N 2.12-2.24
N1 0.2500 0.7500 0.6228 [2 per cell]  6 Mo 2.12-2.24

## Properties
- Spin magnetization: 0.0 μB/f.u.

***

--- Q ---
Density functional theory data (PBE) for crystalline Mo2N at its relaxed geometry.

a = 5.0414 Å, b = 5.0414 Å, c = 2.9591 Å
α = 90.00°, β = 90.00°, γ = 90.00°
Closest atoms and distances in Å follow each position.
Space group P4_2/mnm (No. 136)
One atom of each set of equivalent atoms:
Mo1 0.2146 0.2146 0.0000 [4 per cell]  3 N 2.03-2.13
N1 0.0000 0.0000 0.5000 [2 per cell]  6 Mo 2.03-2.13

## Properties
- Spin magnetization: 0.0 μB/f.u.

***

Which structure is most stable? P, by 9.0 kJ/mol of atoms over the runner-up.